The following is a PBE-GGA calculation of an optimized crystal structure of CsSi2I8, from Alexandria via LeMat-Bulk.

a b c (Å): 18.2223 10.6724 7.5068
angles (deg): 90.00 105.63 90.00
Closest atoms and distances in Å follow each position.
Space group C2/m (No. 12)
Symmetry-distinct sites (fractional):
Cs 0.0000 0.0000 0.0000  6 I 3.98-3.99
Si 0.1928 0.0000 0.6743  4 I 2.52-2.55
I 0.1194 0.1943 0.7221  1 Si 2.55
I 0.1781 0.5000 0.0951  1 Si 2.52
I 0.2085 0.0000 0.3490  1 Si 2.53

Computed properties:
Total moment = 0.000 Bohr magnetons per cell
Volume = 702.9 Å³/f.u.
E = -2.653 eV/atom
Formation energy from raw total energies = -462 meV per atom

The following is a PBE-GGA calculation of an optimized crystal structure of NaSiOF2, from Alexandria via LeMat-Bulk.

a b c (Å): 4.1921 4.1921 3.5281
angles (deg): 90.00 90.00 90.00
Closest atoms and distances in Å follow each position.
Space group P4/mmm (No. 123)
Symmetry-distinct sites (fractional):
Na 0.0000 0.0000 0.0000  8 F 2.74, 4 O 2.96
Si 0.5000 0.5000 0.5000  2 O 1.76
O 0.5000 0.5000 0.0000  2 Si 1.76
F 0.0000 0.5000 0.5000  2 Si 2.10

Computed properties:
Total moment = 0.000 Bohr magnetons per cell
Volume = 62.0 Å³/f.u.
Distance to the lowest polymorph of the same formula = 0.0000 eV per atom
E = -5.183 eV/atom
Formation energy from raw total energies = -2095 meV per atom

The following is a PBE-GGA calculation of an optimized crystal structure of ZrTcSb2, from Alexandria via LeMat-Bulk.

a b c (Å): 3.3065 3.3065 8.4357
angles (deg): 90.00 90.00 90.00
Closest atoms and distances in Å follow each position.
Space group P4mm (No. 99)
Symmetry-distinct sites (fractional):
Zr 0.0000 0.0000 0.0000  4 Tc 2.84, 5 Sb 3.14-3.17
Tc 0.5000 0.5000 0.8083  4 Sb 2.81, 4 Zr 2.84
Sb 0.0000 0.0000 0.6241  4 Tc 2.81
Sb 0.5000 0.5000 0.2478  4 Zr 3.14, 4 Sb 3.31

Computed properties:
Total moment = 0.000 Bohr magnetons per cell
Volume = 92.2 Å³/f.u.
Distance to the lowest polymorph of the same formula = 0.0149 eV per atom
E = -7.012 eV/atom
Formation energy from raw total energies = -223 meV per atom

The following is a PBE-GGA calculation of an optimized crystal structure of Tl2Cd2I, from Alexandria via LeMat-Bulk.

a b c (Å): 8.8164 8.8164 4.0990
angles (deg): 90.00 90.00 90.00
Closest atoms and distances in Å follow each position.
Space group P4/mbm (No. 127)
Symmetry-distinct sites (fractional):
Tl 0.1804 0.3196 0.0000  6 Cd 3.21-3.40
Cd 0.1215 0.6215 0.5000  1 Cd 3.03, 2 Tl 3.21
I 0.0000 0.0000 0.5000  4 Cd 3.50, 8 Tl 3.83

Computed properties:
Total moment = 0.000 Bohr magnetons per cell
Volume = 159.3 Å³/f.u.
Distance to the lowest polymorph of the same formula = 0.0241 eV per atom
E = -1.690 eV/atom
Formation energy from raw total energies = -68 meV per atom

The following is a PBE-GGA calculation of an optimized crystal structure of Sr2NpAuO6, from Alexandria via LeMat-Bulk.

a b c (Å): 11.2930 5.7372 5.6350
angles (deg): 90.00 118.07 90.00
Closest atoms and distances in Å follow each position.
Space group C2/m (No. 12)
Symmetry-distinct sites (fractional):
Sr 0.2459 0.0000 0.2131  5 O 2.45-2.56
Np 0.0000 0.5000 0.0000  6 O 1.97-2.16
Au 0.0000 0.0000 0.5000  4 O 2.14
O 0.0764 0.2475 0.8227  1 Au 2.14, 1 Np 2.16
O 0.1830 0.5000 0.3036  1 Np 1.97

Computed properties:
Total moment = 2.916 Bohr magnetons per cell
Volume = 161.1 Å³/f.u.
E = -7.280 eV/atom
Formation energy from raw total energies = -2347 meV per atom

The following is a PBE-GGA calculation of an optimized crystal structure of YThCdRh, from Alexandria via LeMat-Bulk.

a b c (Å): 7.3083 7.3083 7.3083
angles (deg): 90.00 90.00 90.00
Closest atoms and distances in Å follow each position.
Space group F-43m (No. 216)
Symmetry-distinct sites (fractional):
Y 0.0000 0.0000 0.0000  4 Cd 3.16, 4 Rh 3.16
Th 0.0000 0.0000 0.5000  4 Cd 3.16, 4 Rh 3.16
Cd 0.2500 0.2500 0.2500  4 Th 3.16, 4 Y 3.16
Rh 0.2500 0.2500 0.7500  4 Th 3.16, 4 Y 3.16

Computed properties:
Total moment = 0.000 Bohr magnetons per cell
Volume = 97.6 Å³/f.u.
E_form = -392 meV/atom
E = -5.929 eV/atom

The following is a PBE-GGA calculation of an optimized crystal structure of Pr2DyY4, from Alexandria via LeMat-Bulk.

a b c (Å): 5.6881 5.6881 16.7913
angles (deg): 90.00 90.00 120.00
Closest atoms and distances in Å follow each position.
Space group P6_3/mmc (No. 194)
Symmetry-distinct sites (fractional):
Pr 0.3333 0.6667 0.0567  8 Y 3.25-3.63
Dy 0.0000 0.0000 0.2500  3 Y 3.28
Y 0.0000 0.0000 0.0000  6 Pr 3.42
Y 0.3333 0.6667 0.2500  2 Pr 3.25, 3 Dy 3.28
Y 0.3333 0.6667 0.6484  4 Y 3.41-3.70, 4 Pr 3.44-3.63, 3 Dy 3.70

Computed properties:
Total moment = 0.000 Bohr magnetons per cell
Volume = 235.3 Å³/f.u.
Distance to the lowest polymorph of the same formula = 0.1054 eV per atom
E_form = 155 meV/atom
E = -5.562 eV/atom

The following is a PBE-GGA calculation of an optimized crystal structure of Cu8Si3, from Alexandria via LeMat-Bulk.

a b c (Å): 5.4218 5.4218 5.4218
angles (deg): 90.00 90.00 90.00
Closest atoms and distances in Å follow each position.
Space group Pm-3m (No. 221)
Symmetry-distinct sites (fractional):
Cu 0.2403 0.2403 0.2403  3 Si 2.38, 3 Cu 2.61
Si 0.0000 0.5000 0.5000  8 Cu 2.38

Computed properties:
Total moment = 0.000 Bohr magnetons per cell
Volume = 159.4 Å³/f.u.
E = -4.281 eV/atom
Formation energy from raw total energies = 177 meV per atom

The following is a PBE-GGA calculation of an optimized crystal structure of Cd2CuRe, from Alexandria via LeMat-Bulk.

a b c (Å): 2.7875 4.3667 5.7342
angles (deg): 90.00 103.69 90.00
Closest atoms and distances in Å follow each position.
Space group Pm (No. 6)
Symmetry-distinct sites (fractional):
Cd 0.0000 0.0000 0.0000  2 Cu 2.68, 6 Cd 2.79-2.98, 3 Re 2.94-2.98
Cd 0.3661 0.5000 0.7380  1 Cu 2.55, 2 Cd 2.79
Cu 0.1266 0.5000 0.2798  3 Cd 2.55-2.68, 4 Re 2.78-2.80, 2 Cu 2.79
Re 0.7252 0.0000 0.4648  4 Cu 2.78-2.80, 2 Re 2.79, 7 Cd 2.94-3.01

Computed properties:
Total moment = 0.000 Bohr magnetons per cell
Volume = 67.8 Å³/f.u.
Distance to the lowest polymorph of the same formula = 0.1214 eV per atom
E_form = 514 meV/atom
E = -4.080 eV/atom

The following is a PBE-GGA calculation of an optimized crystal structure of TmZrSc2, from Alexandria via LeMat-Bulk.

a b c (Å): 5.7489 3.3182 10.8021
angles (deg): 90.00 100.25 90.00
Closest atoms and distances in Å follow each position.
Space group Cm (No. 8)
Symmetry-distinct sites (fractional):
Tm 0.0000 0.0000 0.0000  6 Tm 3.32, 6 Sc 3.37-3.41
Zr 0.1665 0.0000 0.4963  6 Sc 3.15-3.18, 6 Zr 3.32
Sc 0.0798 0.5000 0.7355  3 Zr 3.18, 6 Sc 3.32, 3 Tm 3.40-3.41
Sc 0.4206 0.0000 0.2610  3 Zr 3.15, 6 Sc 3.32, 3 Tm 3.37

Computed properties:
Total moment = 0.000 Bohr magnetons per cell
Volume = 101.4 Å³/f.u.
Distance to the lowest polymorph of the same formula = 0.0000 eV per atom
E_form = 33 meV/atom
E = -6.388 eV/atom

The following is a PBE-GGA calculation of an optimized crystal structure of LiMgNiHg, from Alexandria via LeMat-Bulk.

a b c (Å): 6.3610 6.3610 6.3610
angles (deg): 90.00 90.00 90.00
Closest atoms and distances in Å follow each position.
Space group F-43m (No. 216)
Symmetry-distinct sites (fractional):
Li 0.0000 0.0000 0.0000  4 Hg 2.75, 4 Ni 2.75
Mg 0.0000 0.0000 0.5000  4 Hg 2.75, 4 Ni 2.75
Ni 0.2500 0.2500 0.7500  4 Li 2.75, 4 Mg 2.75
Hg 0.2500 0.2500 0.2500  4 Mg 2.75, 4 Li 2.75

Computed properties:
Total moment = 0.000 Bohr magnetons per cell
Volume = 64.3 Å³/f.u.
E_form = -108 meV/atom
E = -2.506 eV/atom

The following is a PBE-GGA calculation of an optimized crystal structure of GdSnHg, from Alexandria via LeMat-Bulk.

a b c (Å): 4.7940 4.7940 3.9820
angles (deg): 90.00 90.00 120.00
Closest atoms and distances in Å follow each position.
Space group P3m1 (No. 156)
Symmetry-distinct sites (fractional):
Gd 0.0000 0.0000 0.0000  3 Hg 3.10, 3 Sn 3.23
Sn 0.3333 0.6667 0.4191  3 Hg 2.91, 3 Gd 3.23
Hg 0.6667 0.3333 0.6478  3 Sn 2.91, 3 Gd 3.10

Computed properties:
Total moment = 7.087 Bohr magnetons per cell
Volume = 79.3 Å³/f.u.
Distance to the lowest polymorph of the same formula = 0.0000 eV per atom
E_form = -488 meV/atom
E = -6.616 eV/atom

The following is a PBE-GGA calculation of an optimized crystal structure of PmScRe4, from Alexandria via LeMat-Bulk.

a b c (Å): 7.6252 7.6252 7.6252
angles (deg): 90.00 90.00 90.00
Closest atoms and distances in Å follow each position.
Space group F-43m (No. 216)
Symmetry-distinct sites (fractional):
Pm 0.0000 0.0000 0.0000  12 Re 3.16, 4 Sc 3.30
Sc 0.2500 0.2500 0.7500  12 Re 3.16, 4 Pm 3.30
Re 0.1247 0.1247 0.3753  6 Re 2.69-2.70

Computed properties:
Total moment = 0.000 Bohr magnetons per cell
Volume = 110.8 Å³/f.u.
E_form = -116 meV/atom
E = -10.261 eV/atom

The following is a PBE-GGA calculation of an optimized crystal structure of LuSnPd, from Alexandria via LeMat-Bulk.

a b c (Å): 7.5887 7.5887 3.8188
angles (deg): 90.00 90.00 120.00
Closest atoms and distances in Å follow each position.
Space group P-62m (No. 189)
Symmetry-distinct sites (fractional):
Lu 0.0000 0.4010 0.0000  5 Pd 3.00-3.04, 6 Sn 3.17-3.29
Sn 0.0000 0.7349 0.5000  4 Pd 2.77-2.82
Pd 0.0000 0.0000 0.0000  6 Sn 2.77, 3 Lu 3.04
Pd 0.3333 0.6667 0.5000  3 Sn 2.82, 6 Lu 3.00

Computed properties:
Total moment = 0.000 Bohr magnetons per cell
Volume = 63.5 Å³/f.u.
E_form = -913 meV/atom
E = -5.485 eV/atom

The following is a PBE-GGA calculation of an optimized crystal structure of FeSb2Pb, from Alexandria via LeMat-Bulk.

a b c (Å): 3.2220 3.2220 9.0898
angles (deg): 90.00 90.00 90.00
Closest atoms and distances in Å follow each position.
Space group P4/mmm (No. 123)
Symmetry-distinct sites (fractional):
Fe 0.0000 0.0000 0.0000  8 Sb 2.77
Sb 0.5000 0.5000 0.1735  4 Fe 2.77
Pb 0.0000 0.0000 0.5000  4 Pb 3.22

Computed properties:
Total moment = 1.325 Bohr magnetons per cell
Volume = 94.4 Å³/f.u.
E = -4.945 eV/atom
Formation energy from raw total energies = 159 meV per atom

The following is a PBE-GGA calculation of an optimized crystal structure of MnGeSbI2, from Alexandria via LeMat-Bulk.

a b c (Å): 5.3924 5.3924 5.4239
angles (deg): 90.00 90.00 90.00
Closest atoms and distances in Å follow each position.
Space group P4/mmm (No. 123)
Symmetry-distinct sites (fractional):
Mn 0.0000 0.0000 0.0000  4 I 2.70, 2 Sb 2.71
Ge 0.5000 0.5000 0.5000  4 Sb 3.81, 8 I 3.82
Sb 0.0000 0.0000 0.5000  2 Mn 2.71
I 0.0000 0.5000 0.0000  2 Mn 2.70

Computed properties:
Total moment = 4.439 Bohr magnetons per cell
Volume = 157.7 Å³/f.u.
Distance to the lowest polymorph of the same formula = 0.0000 eV per atom
E = -3.722 eV/atom
Formation energy from raw total energies = 479 meV per atom

The following is a PBE-GGA calculation of an optimized crystal structure of Pu3PaTl4O12, from Alexandria via LeMat-Bulk.

a b c (Å): 8.6780 8.6780 8.6780
angles (deg): 90.00 90.00 90.00
Closest atoms and distances in Å follow each position.
Space group Im-3m (No. 229)
Symmetry-distinct sites (fractional):
Pu 0.0000 0.0000 0.5000  6 O 2.15-2.17
Pa 0.0000 0.0000 0.0000  6 O 2.19
Tl 0.2500 0.2500 0.2500  12 O 3.07
O 0.0000 0.0000 0.2522  1 Pu 2.15, 1 Pa 2.19
O 0.0000 0.2500 0.5000  2 Pu 2.17

Computed properties:
Total moment = 18.000 Bohr magnetons per cell
Volume = 326.8 Å³/f.u.
E = -8.375 eV/atom
Formation energy from raw total energies = -2303 meV per atom

The following is a PBE-GGA calculation of an optimized crystal structure of TcAsBr, from Alexandria via LeMat-Bulk.

a b c (Å): 3.2707 3.2707 13.2302
angles (deg): 90.00 90.00 90.00
Closest atoms and distances in Å follow each position.
Space group I4mm (No. 107)
Symmetry-distinct sites (fractional):
Tc 0.0000 0.0000 0.0000  1 Br 2.41, 4 As 2.50
As 0.0000 0.0000 0.4290  4 Tc 2.50
Br 0.0000 0.0000 0.1821  1 Tc 2.41

Computed properties:
Total moment = 0.001 Bohr magnetons per cell
Volume = 70.8 Å³/f.u.
Distance to the lowest polymorph of the same formula = 0.0076 eV per atom
E = -5.409 eV/atom
Formation energy from raw total energies = 153 meV per atom

The following is a PBE-GGA calculation of an optimized crystal structure of YSc2Ta, from Alexandria via LeMat-Bulk.

a b c (Å): 7.2617 7.2617 7.2617
angles (deg): 90.00 90.00 90.00
Closest atoms and distances in Å follow each position.
Space group F-43m (No. 216)
Symmetry-distinct sites (fractional):
Y 0.0000 0.0000 0.0000  4 Ta 3.14, 4 Sc 3.14
Sc 0.0000 0.0000 0.5000  4 Ta 3.14, 4 Sc 3.14
Sc 0.2500 0.2500 0.7500  4 Y 3.14, 4 Sc 3.14
Ta 0.2500 0.2500 0.2500  4 Sc 3.14, 4 Y 3.14

Computed properties:
Total moment = 10.287 Bohr magnetons per cell
Volume = 95.7 Å³/f.u.
Distance to the lowest polymorph of the same formula = 0.1992 eV per atom
E_form = 356 meV/atom
E = -7.389 eV/atom

The following is a PBE-GGA calculation of an optimized crystal structure of Zr3Zn4Au4, from Alexandria via LeMat-Bulk.

a b c (Å): 3.0070 4.5418 14.6437
angles (deg): 98.90 95.87 90.01
Closest atoms and distances in Å follow each position.
Space group P-1 (No. 2)
Symmetry-distinct sites (fractional):
Zr 0.0000 0.0000 0.0000  2 Zr 3.01, 8 Au 3.06, 4 Zn 3.07-3.08
Zr 0.1406 0.6392 0.2799  2 Zr 3.01, 6 Au 3.01-3.03, 6 Zn 3.04-3.11
Zn 0.2662 0.2659 0.5310  4 Au 2.68-2.77, 4 Zn 2.86-2.87
Zn 0.4060 0.9074 0.8135  3 Au 2.61-2.64
Au 0.3135 0.8158 0.6302  5 Zn 2.64-2.77
Au 0.4513 0.4519 0.9029  2 Zn 2.61, 1 Au 2.79

Computed properties:
Total moment = 0.000 Bohr magnetons per cell
Volume = 196.5 Å³/f.u.
E_form = -411 meV/atom
E = -4.397 eV/atom